The following is a DFT calculation (PBE) of a relaxed structure of LaCd2Ir.

Total magnetic moment ... 0.000 μB per atom
DFT total energy ... -4.12 eV/atom
Crystal system ... tetragonal

a = 3.498 Å, b = 3.498 Å, c = 7.687 Å
α = 90.00°, β = 90.00°, γ = 90.00°
Positions (direct):
La1 0.000 0.000 0.000
Cd1 0.000 0.000 0.580
Cd2 0.500 0.500 0.342
Ir1 0.500 0.500 0.780